## Nd2TlAs (PBE)

Data for crystalline Nd2TlAs at its relaxed geometry.

Lattice parameters (Å, degrees): 4.1321 4.1321 8.8610 90.00 90.00 120.00
Space group P3m1 (No. 156)
Inequivalent atoms, fractional coordinates:
1 Nd 0.0000 0.0000 0.0000
2 Nd 0.3333 0.6667 0.3779
3 Tl 0.0000 0.0000 0.6424
4 As 0.6667 0.3333 0.1829

## Properties
ρ in g/cm3: 7.196
E in eV/cell: -19.33
Spin magnetization in μB/cell: 0.2